A plane-wave DFT calculation with PBE-GGA was carried out for Ho2TcBr after structural relaxation.

Structure (CIF):
```
data_Ho2TcBr
_symmetry_space_group_name_H-M 'P 4/m m m'
_symmetry_Int_Tables_number 123
_symmetry_space_group_name_Hall '-P 4 2'
_cell_length_a 3.4468
_cell_length_b 3.4468
_cell_length_c 7.9526
_cell_angle_alpha 90.00
_cell_angle_beta 90.00
_cell_angle_gamma 90.00
loop_
_atom_site_label
_atom_site_type_symbol
_atom_site_fract_x
_atom_site_fract_y
_atom_site_fract_z
Ho1 Ho 0.0000 0.0000 0.2038
Tc1 Tc 0.5000 0.5000 0.0000
Br1 Br 0.5000 0.5000 0.5000
```

## Properties
Energy above the lowest structure with this stoichiometry, eV/f.u.: 0.000
Uncorrected formation energy, meV per atom: -602
D(E_F), states/eV/atom: 0.57